# CaLa2Ag PBEsol optimized geometry
# Formation energy ... -0.08 eV per atom
# Polymorph energy (0 for the lowest one) ... 0.000 eV/atom
# Final energy ... -4.111 eV/atom
data_CaLa2Ag
_chemical_formula_sum 'Ca2 La4 Ag2'
_space_group_name_H-M_alt 'I m m m'
_space_group_IT_number 71
_space_group_name_Hall '-I 2 2'
_cell_length_a 3.587
_cell_length_b 5.475
_cell_length_c 12.232
_cell_angle_alpha 90.00
_cell_angle_beta 90.00
_cell_angle_gamma 90.00
loop_
_atom_site_label
_atom_site_type_symbol
_atom_site_fract_x
_atom_site_fract_y
_atom_site_fract_z
_atom_site_occupancy
Ca1 Ca 0.000 0.000 0.000 1
La1 La 0.000 0.500 0.213 1
Ag1 Ag 0.000 0.000 0.500 1


# Sr2AgIr PBEsol optimized geometry
# Formation energy ... 0.11 eV per atom
# Final energy ... -4.091 eV/atom
data_Sr2AgIr
_chemical_formula_sum 'Sr4 Ag2 Ir2'
_space_group_name_H-M_alt 'I -4 m 2'
_space_group_IT_number 119
_space_group_name_Hall 'I -4 -2'
_cell_length_a 4.453
_cell_length_b 4.453
_cell_length_c 9.498
_cell_angle_alpha 90.00
_cell_angle_beta 90.00
_cell_angle_gamma 90.00
loop_
_atom_site_label
_atom_site_type_symbol
_atom_site_fract_x
_atom_site_fract_y
_atom_site_fract_z
_atom_site_occupancy
Sr1 Sr 0.000 0.000 0.000 1
Sr2 Sr 0.000 0.500 0.250 1
Ag1 Ag 0.000 0.000 0.500 1
Ir1 Ir 0.000 0.500 0.750 1


# HfMgGe3 PBEsol optimized geometry
# Formation energy ... 0.39 eV per atom
# Final energy ... -5.022 eV/atom
data_HfMgGe3
_chemical_formula_sum 'Hf1 Mg1 Ge3'
_space_group_name_H-M_alt 'P m -3 m'
_space_group_IT_number 221
_space_group_name_Hall '-P 4 2 3'
_cell_length_a 5.090
_cell_length_b 5.090
_cell_length_c 5.090
_cell_angle_alpha 90.00
_cell_angle_beta 90.00
_cell_angle_gamma 90.00
loop_
_atom_site_label
_atom_site_type_symbol
_atom_site_fract_x
_atom_site_fract_y
_atom_site_fract_z
_atom_site_occupancy
Hf1 Hf 0.000 0.000 0.000 1
Mg1 Mg 0.500 0.500 0.500 1
Ge1 Ge 0.000 0.000 0.500 1


# CuHg2Ge2 PBEsol optimized geometry
# Formation energy ... 0.35 eV per atom
# Final energy ... -2.722 eV/atom
data_CuHg2Ge2
_chemical_formula_sum 'Cu2 Hg4 Ge4'
_space_group_name_H-M_alt 'I 4/m m m'
_space_group_IT_number 139
_space_group_name_Hall '-I 4 2'
_cell_length_a 3.566
_cell_length_b 3.566
_cell_length_c 15.625
_cell_angle_alpha 90.00
_cell_angle_beta 90.00
_cell_angle_gamma 90.00
loop_
_atom_site_label
_atom_site_type_symbol
_atom_site_fract_x
_atom_site_fract_y
_atom_site_fract_z
_atom_site_occupancy
Cu1 Cu 0.000 0.000 0.000 1
Hg1 Hg 0.000 0.000 0.410 1
Ge1 Ge 0.000 0.500 0.250 1


# CrBi2Ir PBEsol optimized geometry
# Formation energy ... 0.71 eV per atom
# Final energy ... -6.452 eV/atom
data_CrBi2Ir
_chemical_formula_sum 'Cr4 Bi8 Ir4'
_space_group_name_H-M_alt 'I -4 2 d'
_space_group_IT_number 122
_space_group_name_Hall 'I -4 2bw'
_cell_length_a 7.771
_cell_length_b 7.771
_cell_length_c 6.064
_cell_angle_alpha 90.00
_cell_angle_beta 90.00
_cell_angle_gamma 90.00
loop_
_atom_site_label
_atom_site_type_symbol
_atom_site_fract_x
_atom_site_fract_y
_atom_site_fract_z
_atom_site_occupancy
Cr1 Cr 0.000 0.000 0.000 1
Bi1 Bi 0.219 0.750 0.625 1
Ir1 Ir 0.000 0.000 0.500 1


# Li3Pt PBEsol optimized geometry
# Formation energy ... -0.26 eV per atom
# Polymorph energy (0 for the lowest one) ... 0.090 eV/atom
# Final energy ... -3.480 eV/atom
data_Li3Pt
_chemical_formula_sum 'Li3 Pt1'
_space_group_name_H-M_alt 'P -6 m 2'
_space_group_IT_number 187
_space_group_name_Hall 'P -6 2'
_cell_length_a 2.7677
_cell_length_b 2.7677
_cell_length_c 9.3372
_cell_angle_alpha 90.00
_cell_angle_beta 90.00
_cell_angle_gamma 120.00
loop_
_atom_site_label
_atom_site_type_symbol
_atom_site_fract_x
_atom_site_fract_y
_atom_site_fract_z
_atom_site_occupancy
Li1 Li 0.0000 0.0000 0.0000 1
Li2 Li 0.3333 0.6667 0.2800 1
Pt1 Pt 0.0000 0.0000 0.5000 1


# Cd2MoP PBEsol optimized geometry
# Formation energy ... 0.13 eV per atom
# Final energy ... -4.861 eV/atom
data_Cd2MoP
_chemical_formula_sum 'Cd4 Mo2 P2'
_space_group_name_H-M_alt 'C 1 m 1'
_space_group_IT_number 8
_space_group_name_Hall 'C -2y'
_cell_length_a 8.747
_cell_length_b 3.256
_cell_length_c 5.338
_cell_angle_alpha 90.00
_cell_angle_beta 112.52
_cell_angle_gamma 90.00
loop_
_atom_site_label
_atom_site_type_symbol
_atom_site_fract_x
_atom_site_fract_y
_atom_site_fract_z
_atom_site_occupancy
Cd1 Cd 0.000 0.000 0.000 1
Cd2 Cd 0.219 0.000 0.768 1
Mo1 Mo 0.436 0.000 0.399 1
P1 P 0.232 0.500 0.383 1


# MgTc2Ag PBEsol optimized geometry
# Formation energy ... 0.25 eV per atom
# Final energy ... -6.635 eV/atom
data_MgTc2Ag
_chemical_formula_sum 'Mg2 Tc4 Ag2'
_space_group_name_H-M_alt 'C m m 2'
_space_group_IT_number 35
_space_group_name_Hall 'C 2 -2'
_cell_length_a 2.971
_cell_length_b 4.540
_cell_length_c 9.206
_cell_angle_alpha 90.00
_cell_angle_beta 90.00
_cell_angle_gamma 90.00
loop_
_atom_site_label
_atom_site_type_symbol
_atom_site_fract_x
_atom_site_fract_y
_atom_site_fract_z
_atom_site_occupancy
Mg1 Mg 0.000 0.000 0.000 1
Tc1 Tc 0.000 0.000 0.523 1
Tc2 Tc 0.000 0.500 0.746 1
Ag1 Ag 0.000 0.500 0.258 1